Below is a relaxed structure of Tl2BPd, with properties calculated at the PBE-GGA level.

Cell lengths 4.8142, 4.8142, 4.8142 Å; angles 60.00, 60.00, 60.00 degrees
Atoms (fractional coordinates):
Tl  0.2500  0.2500  0.2500
Tl  0.7500  0.7500  0.7500
B  0.0000  0.0000  0.0000
Pd  0.5000  0.5000  0.5000

density: 11.07 g cm⁻³
final energy: -13.01 eV/cell
D(E_F): 3.70 states/eV/cell
ΔE to the lowest computed polymorph: 94 meV/atom